# AcMg9Ag2

A relaxed AcMg9Ag2 crystal (PBE-GGA, Alexandria).

Cell: 7.6978 9.3700 9.3700 Å, 80.29 65.75 65.75°
Last column: nearest neighbours and their distance in Å.
Element x y z (fractional)
1 Ac 0.5000 0.0000 0.0000  18 Mg 3.72-3.93
2 Ac 0.2500 0.5000 0.5000  18 Mg 3.72-3.93
3 Mg 0.7500 0.5000 0.5000  4 Ag 3.17, 8 Mg 3.20
4 Mg 0.0000 0.0000 0.0000  4 Ag 3.17, 8 Mg 3.20
5 Mg 0.0129 0.9211 0.6762  2 Ag 2.89-2.92, 8 Mg 2.96-3.23
6 Mg 0.6102 0.0789 0.3238  2 Ag 2.89-2.92, 8 Mg 2.96-3.23
7 Mg 0.6840 0.1762 0.5789  2 Ag 2.89-2.92, 8 Mg 2.96-3.23
8 Mg 0.4391 0.8238 0.4211  2 Ag 2.89-2.92, 8 Mg 2.96-3.23
9 Mg 0.7371 0.8238 0.5789  2 Ag 2.89-2.92, 8 Mg 2.96-3.23
10 Mg 0.1398 0.1762 0.4211  2 Ag 2.89-2.92, 8 Mg 2.96-3.23
11 Mg 0.0660 0.9211 0.3238  2 Ag 2.89-2.92, 8 Mg 2.96-3.23
12 Mg 0.3109 0.0789 0.6762  2 Ag 2.89-2.92, 8 Mg 2.96-3.23
13 Mg 0.7371 0.5789 0.8238  2 Ag 2.89-2.92, 8 Mg 2.96-3.23
14 Mg 0.1398 0.4211 0.1762  2 Ag 2.89-2.92, 8 Mg 2.96-3.23
15 Mg 0.0660 0.3238 0.9211  2 Ag 2.89-2.92, 8 Mg 2.96-3.23
16 Mg 0.3109 0.6762 0.0789  2 Ag 2.89-2.92, 8 Mg 2.96-3.23
17 Mg 0.0129 0.6762 0.9211  2 Ag 2.89-2.92, 8 Mg 2.96-3.23
18 Mg 0.6102 0.3238 0.0789  2 Ag 2.89-2.92, 8 Mg 2.96-3.23
19 Mg 0.6840 0.5789 0.1762  2 Ag 2.89-2.92, 8 Mg 2.96-3.23
20 Mg 0.4391 0.4211 0.8238  2 Ag 2.89-2.92, 8 Mg 2.96-3.23
21 Ag 0.8750 0.2500 0.7500  10 Mg 2.89-3.17
22 Ag 0.8750 0.7500 0.2500  10 Mg 2.89-3.17
23 Ag 0.8750 0.2500 0.2500  10 Mg 2.89-3.17
24 Ag 0.3750 0.7500 0.7500  10 Mg 2.89-3.17

Output
Space-group type: I4_1/amd
Density of states at the Fermi level: 10.21 states/eV per cell
Size of the total moment: 0.000 μB per formula unit
E: -52.13 eV per cell
ΔE_f: -15.3 kJ per mole of atoms